MgZr2Mo: optimized geometry, GGA-PBE.

Cell lengths 3.4073, 4.8083, 9.9327 Å; angles 90.00, 90.00, 90.00 degrees
Last column: nearest neighbours and their distance in Å.
Fractional coordinates of all 8 atoms:
Mg  0.0000  0.0000  0.0000  2 Mo 2.87, 4 Mg 2.95, 2 Zr 3.20
Mg  0.5000  0.5000  0.0000  2 Mo 2.87, 4 Mg 2.95, 2 Zr 3.20
Zr  0.0000  0.0000  0.5458  2 Mo 2.79, 4 Zr 2.95
Zr  0.0000  0.5000  0.2725  6 Zr 2.95-3.21, 2 Mg 3.20
Zr  0.5000  0.0000  0.2725  6 Zr 2.95-3.21, 2 Mg 3.20
Zr  0.5000  0.5000  0.5458  2 Mo 2.79, 4 Zr 2.95
Mo  0.0000  0.5000  0.7680  2 Zr 2.79, 2 Mg 2.87, 4 Mo 2.95
Mo  0.5000  0.0000  0.7680  2 Zr 2.79, 2 Mg 2.87, 4 Mo 2.95

Results
Relative energy among the computed polymorphs, meV per atom: 210
Symmetry: Cmm2 (35)
DFT total energy, eV per atom: -7.1922
Energy relative to the elements, meV/atom: 188

---

RbZr2Cl: optimized geometry, GGA-PBE.

Cell lengths 7.4520, 7.4520, 7.4520 Å; angles 90.00, 90.00, 90.00 degrees
Last column: nearest neighbours and their distance in Å.
Fractional coordinates of all 16 atoms:
Rb  0.0000  0.0000  0.0000  8 Zr 3.23
Rb  0.0000  0.5000  0.5000  8 Zr 3.23
Rb  0.5000  0.0000  0.5000  8 Zr 3.23
Rb  0.5000  0.5000  0.0000  8 Zr 3.23
Zr  0.2500  0.2500  0.2500  4 Cl 3.23, 4 Rb 3.23
Zr  0.2500  0.2500  0.7500  4 Cl 3.23, 4 Rb 3.23
Zr  0.2500  0.7500  0.2500  4 Cl 3.23, 4 Rb 3.23
Zr  0.2500  0.7500  0.7500  4 Cl 3.23, 4 Rb 3.23
Zr  0.7500  0.2500  0.2500  4 Cl 3.23, 4 Rb 3.23
Zr  0.7500  0.2500  0.7500  4 Cl 3.23, 4 Rb 3.23
Zr  0.7500  0.7500  0.2500  4 Cl 3.23, 4 Rb 3.23
Zr  0.7500  0.7500  0.7500  4 Cl 3.23, 4 Rb 3.23
Cl  0.0000  0.0000  0.5000  8 Zr 3.23
Cl  0.0000  0.5000  0.0000  8 Zr 3.23
Cl  0.5000  0.0000  0.0000  8 Zr 3.23
Cl  0.5000  0.5000  0.5000  8 Zr 3.23

Results
Relative energy among the computed polymorphs, meV per atom: 647
Energy relative to the elements, uncorrected, eV/f.u.: 4.71
Symmetry: Fm-3m (225)
DFT total energy, eV per atom: -3.8012

---

CsIn2I7: optimized geometry, GGA-PBE.

Cell lengths 12.1821, 12.1821, 4.7399 Å; angles 90.00, 90.00, 135.27 degrees
Last column: nearest neighbours and their distance in Å.
Fractional coordinates of all 10 atoms:
Cs  0.0000  0.0000  0.0000  8 I 4.12
In  0.3658  0.6342  0.5000  5 I 2.82-3.02
In  0.6342  0.3658  0.5000  5 I 2.82-3.02
I  0.0698  0.3222  0.5000  1 In 2.82
I  0.2872  0.7128  0.0000  2 In 2.96
I  0.3222  0.0698  0.5000  1 In 2.82
I  0.5000  0.5000  0.5000  2 In 3.02
I  0.6778  0.9302  0.5000  1 In 2.82
I  0.7128  0.2872  0.0000  2 In 2.96
I  0.9302  0.6778  0.5000  1 In 2.82

Results
Energy relative to the elements, uncorrected, eV/f.u.: -6.15
Symmetry: Cmmm (65)
DFT total energy, eV per atom: -2.3327

---

Li5Tm2Tl4: optimized geometry, GGA-PBE.

Cell lengths 10.3282, 9.7267, 5.5468 Å; angles 80.02, 68.05, 31.93 degrees
Last column: nearest neighbours and their distance in Å.
Fractional coordinates of all 11 atoms:
Li  0.0000  0.0000  0.0000  4 Li 2.77, 4 Tl 2.83
Li  0.0000  0.0000  0.5000  4 Li 2.77-3.06, 4 Tl 2.95
Li  0.2500  0.2500  0.2500  4 Tl 2.82, 2 Li 3.06
Li  0.5000  0.5000  0.0000  4 Li 2.77-3.06, 4 Tl 2.95
Li  0.7500  0.7500  0.7500  4 Tl 2.82, 2 Li 3.06
Tm  0.3858  0.3858  0.6142  6 Tl 3.13-3.42, 4 Li 3.48
Tm  0.6142  0.6142  0.3858  6 Tl 3.13-3.42, 4 Li 3.48
Tl  0.0342  0.7073  0.2927  5 Li 2.82-2.95, 1 Tl 3.03, 1 Tm 3.13
Tl  0.2927  0.9658  0.0342  5 Li 2.82-2.95, 1 Tl 3.03, 1 Tm 3.13
Tl  0.7073  0.0342  0.9658  5 Li 2.82-2.95, 1 Tl 3.03, 1 Tm 3.13
Tl  0.9658  0.2927  0.7073  5 Li 2.82-2.95, 1 Tl 3.03, 1 Tm 3.13

Results
Symmetry: Fmmm (69)
DFT total energy, eV per atom: -2.6319
Energy relative to the elements, meV/atom: -89

---

Look up the DFT total energy of the second one. -3.8012 eV per atom

---

The lowest DFT total energy belongs to which entry? MgZr2Mo